Entry 1:
LiHfRuPt | PBE-GGA | relaxed

abc: 6.276 6.276 6.276
angles: 90.00 90.00 90.00
Space group F-43m (No. 216)
Inequivalent atoms, fractional coordinates:
1 Li 0.000 0.000 0.000 (multiplicity 4)
2 Hf 0.000 0.000 0.500 (multiplicity 4)
3 Ru 0.250 0.250 0.750 (multiplicity 4)
4 Pt 0.250 0.250 0.250 (multiplicity 4)

- Formation energy: -634 meV per atom


Entry 2:
Er3GeP2Rh9 | PBE-GGA | relaxed

abc: 6.0791 6.0791 8.6849
angles: 90.00 90.00 120.00
Space group P-3m1 (No. 164)
Inequivalent atoms, fractional coordinates:
1 Er 0.0000 0.0000 0.0000 (multiplicity 1)
2 Er 0.3333 0.6667 0.7088 (multiplicity 2)
3 Ge 0.0000 0.0000 0.5000 (multiplicity 1)
4 P 0.3333 0.6667 0.1684 (multiplicity 2)
5 Rh 0.0000 0.5000 0.0000 (multiplicity 3)
6 Rh 0.1497 0.2993 0.2814 (multiplicity 6)

- Formation energy: -682 meV per atom


Among the records above, which one has the highest formation energy? LiHfRuPt


Which of these has the highest formation energy? LiHfRuPt


Which value of formation energy does entry 1 give? -634 meV per atom


formation energy of number 1 (LiHfRuPt)? -634 meV per atom